# Sm2TmU2Ru5, optimized geometry, DFT PBE-GGA
data_Sm2TmU2Ru5
_symmetry_space_group_name_H-M 'P 4/m b m'
_symmetry_Int_Tables_number 127
_symmetry_space_group_name_Hall '-P 4 2ab'
_cell_length_a 10.729
_cell_length_b 10.729
_cell_length_c 3.550
_cell_angle_alpha 90.00
_cell_angle_beta 90.00
_cell_angle_gamma 90.00
loop_
_atom_site_label
_atom_site_type_symbol
_atom_site_fract_x
_atom_site_fract_y
_atom_site_fract_z
_atom_site_occupancy
Sm1 Sm 0.175 0.325 0.000 1
Tm1 Tm 0.000 0.000 0.000 1
U1 U 0.137 0.637 0.000 1
Ru1 Ru 0.000 0.500 0.500 1
Ru2 Ru 0.051 0.787 0.500 1
# formation energy = -0.260 eV/atom



# Sm2URu4, optimized geometry, DFT PBE-GGA
data_Sm2URu4
_symmetry_space_group_name_H-M 'I 4/m m m'
_symmetry_Int_Tables_number 139
_symmetry_space_group_name_Hall '-I 4 2'
_cell_length_a 4.451
_cell_length_b 4.451
_cell_length_c 14.239
_cell_angle_alpha 90.00
_cell_angle_beta 90.00
_cell_angle_gamma 90.00
loop_
_atom_site_label
_atom_site_type_symbol
_atom_site_fract_x
_atom_site_fract_y
_atom_site_fract_z
_atom_site_occupancy
Sm1 Sm 0.000 0.000 0.237 1
U1 U 0.000 0.000 0.500 1
Ru1 Ru 0.000 0.500 0.099 1
# formation energy = 0.039 eV/atom



- What is the formation energy in the second record?
  0.039 eV/atom



- Which value of formation energy does entry 1 give?
  -0.260 eV/atom



- Which formula does entry 1 have?
  Sm2TmU2Ru5



Copy entry 1 word for word.
# Sm2TmU2Ru5, optimized geometry, DFT PBE-GGA
data_Sm2TmU2Ru5
_symmetry_space_group_name_H-M 'P 4/m b m'
_symmetry_Int_Tables_number 127
_symmetry_space_group_name_Hall '-P 4 2ab'
_cell_length_a 10.729
_cell_length_b 10.729
_cell_length_c 3.550
_cell_angle_alpha 90.00
_cell_angle_beta 90.00
_cell_angle_gamma 90.00
loop_
_atom_site_label
_atom_site_type_symbol
_atom_site_fract_x
_atom_site_fract_y
_atom_site_fract_z
_atom_site_occupancy
Sm1 Sm 0.175 0.325 0.000 1
Tm1 Tm 0.000 0.000 0.000 1
U1 U 0.137 0.637 0.000 1
Ru1 Ru 0.000 0.500 0.500 1
Ru2 Ru 0.051 0.787 0.500 1
# formation energy = -0.260 eV/atom